(1)
## BaLaRh2 (PBE-GGA)

Data for a relaxed BaLaRh2 crystal.

Results
- Space-group type: P4mm (99)
- E_form: -0.143 eV per atom
- VASP energy: -5.532 eV/atom
- Density of states at the Fermi level: 2.967 states/eV/cell

```
4
Lattice="3.875 0.000 0.000 0.000 3.875 0.000 0.000 0.000 7.492" Properties=species:S:1:pos:R:3 pbc="T T T"
Rh 0.000 0.000 0.029
Rh 1.938 1.938 1.519
La 1.938 1.938 6.552
Ba 0.000 0.000 3.138
```

=====

(2)
## Hg5Pb3N2 (PBE-GGA)

Data for a relaxed Hg5Pb3N2 crystal.

Results
- Space-group type: C2/c (15)
- VASP energy: -2.615 eV/atom
- Density of states at the Fermi level: 1.594 states/eV/cell
- Uncorrected formation energy: 314 meV per atom

```
20
Lattice="10.949 4.749 0.825 -10.949 4.749 0.825 0.000 1.285 5.866" Properties=species:S:1:pos:R:3 pbc="T T T"
N 6.644 3.954 3.743
N 6.644 7.473 6.705
N -6.644 3.311 0.810
N -6.644 6.830 3.772
Pb 4.332 7.184 6.681
Pb 8.021 5.071 2.291
Pb -4.332 3.600 0.835
Pb 4.332 4.242 3.768
Pb -4.332 6.542 3.748
Pb -8.021 5.713 5.224
Hg -0.959 5.713 5.224
Hg 3.713 2.064 0.752
Hg 0.959 5.071 2.291
Hg 0.562 1.811 0.696
Hg -0.562 8.973 6.820
Hg -0.562 2.454 3.629
Hg -3.713 8.720 6.764
Hg -3.713 2.707 3.685
Hg 0.562 8.330 3.887
Hg 3.713 8.077 3.831
```